## Pr2MgSi3Ni4 (GGA-PBE)

Data for Pr2MgSi3Ni4 after structural relaxation.

extended XYZ file:
```
10
Lattice="-2.719 -1.261 2.824 1.754 -3.726 0.025 6.042 2.891 7.106" Properties=species:S:1:pos:R:3 pbc="T T T"
Pr 0.098 0.067 3.126
Pr 5.461 0.331 5.405
Mg 2.538 -1.048 4.978
Si 3.021 1.445 3.553
Si 3.955 1.913 7.663
Si 1.604 -1.515 0.868
Ni -0.483 -2.493 1.425
Ni 0.000 0.000 0.000
Ni 2.506 1.219 5.958
Ni 3.054 -0.821 2.573
```

Values from the calculation:
E_tot: -5.706 eV/atom
ρ: 6.3 g cm⁻³
formation energy from raw total energies: -0.6508 eV/atom
DOS(E_F): 5.70 states/eV/f.u.
space-group type: No. 115

## PrMgSi2Ni2 (GGA-PBE)

Data for PrMgSi2Ni2 after structural relaxation.

extended XYZ file:
```
6
Lattice="-2.407 1.835 2.767 2.806 -2.733 1.215 4.647 5.073 0.679" Properties=species:S:1:pos:R:3 pbc="T T T"
Pr 0.000 0.000 0.000
Mg 2.324 2.537 0.340
Si 2.437 0.283 1.932
Si 2.609 3.892 2.729
Ni 4.135 2.137 2.180
Ni 0.911 2.038 2.481
```

Values from the calculation:
E_tot: -5.418 eV/atom
ρ: 5.6 g cm⁻³
formation energy from raw total energies: -0.6214 eV/atom
DOS(E_F): 3.05 states/eV/f.u.
space-group type: No. 164

## Pr2MgZn12Ni3 (GGA-PBE)

Data for Pr2MgZn12Ni3 after structural relaxation.

extended XYZ file:
```
18
Lattice="8.313 0.089 0.063 4.183 7.185 0.063 4.183 2.435 6.760" Properties=species:S:1:pos:R:3 pbc="T T T"
Pr 9.913 5.770 4.093
Pr 6.767 3.939 2.794
Mg 0.000 0.000 0.000
Zn 7.643 4.449 5.855
Zn 12.527 7.292 3.425
Zn 11.093 8.106 5.750
Zn 9.858 3.191 2.263
Zn 12.527 5.643 5.750
Zn 7.643 6.996 2.263
Zn 9.037 5.260 1.032
Zn 4.153 2.417 3.462
Zn 5.587 1.603 1.137
Zn 6.822 6.518 4.623
Zn 4.153 4.066 1.137
Zn 9.037 2.713 4.623
Ni 4.157 0.045 0.032
Ni 2.092 3.592 0.032
Ni 2.092 1.217 3.380
```

Values from the calculation:
E_tot: -2.247 eV/atom
ρ: 5.3 g cm⁻³
DOS(E_F): 9.20 states/eV/f.u.
space-group type: No. 166